PmUS2N | GGA-PBE | optimized geometry

## Properties
E = -82.543 eV per cell

The structure in POSCAR format:
```
PmUS2N
1.0
3.860 0.000 0.000
0.000 3.860 0.000
0.000 0.000 14.161
Pm U S N
2 2 4 2
direct
0.250 0.250 0.124
0.750 0.750 0.876
0.250 0.250 0.583
0.750 0.750 0.417
0.250 0.250 0.315
0.250 0.250 0.910
0.750 0.750 0.090
0.750 0.750 0.685
0.250 0.750 0.500
0.750 0.250 0.500
```

=====

Pm8Sb5N | GGA-PBE | optimized geometry

## Properties
E = -80.337 eV per cell

The structure in POSCAR format:
```
Pm8Sb5N
1.0
-4.557 4.557 4.868
4.557 -4.557 4.868
4.557 4.557 -4.868
Pm Sb N
8 5 1
direct
0.262 0.497 0.605
0.343 0.738 0.235
0.454 0.274 0.295
0.503 0.108 0.765
0.726 0.021 0.179
0.842 0.546 0.821
0.892 0.657 0.395
0.979 0.158 0.705
0.130 0.007 0.363
0.232 0.870 0.877
0.500 0.500 0.000
0.644 0.768 0.637
0.993 0.356 0.123
0.750 0.250 0.500
```

=====

Pm2SbN | GGA-PBE | optimized geometry

## Properties
E = -107.794 eV per cell
offset from the most stable computed form = 36.9 meV/atom

The structure in POSCAR format:
```
Pm2SbN
1.0
7.401 0.000 0.000
0.000 4.188 0.000
0.000 0.000 13.353
Pm Sb N
8 4 4
direct
0.102 0.250 0.231
0.182 0.250 0.965
0.318 0.750 0.465
0.398 0.750 0.731
0.602 0.250 0.269
0.682 0.250 0.535
0.818 0.750 0.035
0.898 0.750 0.769
0.110 0.250 0.637
0.390 0.750 0.137
0.610 0.250 0.863
0.890 0.750 0.363
0.053 0.750 0.912
0.447 0.250 0.412
0.553 0.750 0.588
0.947 0.250 0.088
```

=====

Pm6Sb5N | GGA-PBE | optimized geometry

## Properties
E = -70.106 eV per cell

The structure in POSCAR format:
```
Pm6Sb5N
1.0
3.803 -6.488 0.000
3.803 6.488 0.000
-2.552 0.000 7.112
Pm Sb N
6 5 1
direct
0.071 0.364 0.220
0.228 0.228 0.751
0.364 0.071 0.220
0.636 0.929 0.780
0.772 0.772 0.249
0.929 0.636 0.780
0.180 0.820 0.500
0.336 0.664 0.000
0.500 0.500 0.500
0.664 0.336 0.000
0.820 0.180 0.500
0.000 0.000 0.000
```